1.
Entry from Alexandria via LeMat-Bulk: a relaxed MgTa2Cu crystal (GGA-PBE).

a = 5.081 Å, b = 5.081 Å, c = 2.832 Å
α = 90.00°, β = 90.00°, γ = 112.69°
Atoms (fractional coordinates):
Ta1 0.500 0.500 0.000
Cu1 0.500 0.000 0.500
Ta2 0.000 0.000 0.000
Mg1 0.000 0.500 0.500

Total DFT energy (no corrections), eV/atom: -7.03
Formation energy, eV per atom: 0.3236
Size of the total moment, μB per atom: 0.000
N(E_F), states/eV/f.u.: 2.7



2.
Entry from Alexandria via LeMat-Bulk: a relaxed MgTaCu2 crystal (GGA-PBE).

a = 9.207 Å, b = 9.207 Å, c = 9.207 Å
α = 17.71°, β = 17.71°, γ = 17.71°
Atoms (fractional coordinates):
Cu1 0.994 0.994 0.994
Cu2 0.255 0.255 0.255
Ta1 0.743 0.743 0.743
Mg1 0.508 0.508 0.508

Total DFT energy (no corrections), eV/atom: -5.20
Formation energy, eV per atom: 0.2147
Size of the total moment, μB per atom: 0.000
N(E_F), states/eV/f.u.: 2.4



3.
Entry from Alexandria via LeMat-Bulk: a relaxed MgTaCu2 crystal (GGA-PBE).

a = 2.936 Å, b = 2.938 Å, c = 7.070 Å
α = 90.00°, β = 90.00°, γ = 90.00°
Atoms (fractional coordinates):
Mg1 0.500 0.500 0.250
Cu1 0.000 0.000 0.000
Cu2 0.000 0.000 0.500
Ta1 0.500 0.500 0.750

Total DFT energy (no corrections), eV/atom: -5.37
Formation energy, eV per atom: 0.0360
Size of the total moment, μB per atom: 0.000
N(E_F), states/eV/f.u.: 2.2



4.
Entry from Alexandria via LeMat-Bulk: a relaxed MgTa2Cu crystal (GGA-PBE).

a = 2.825 Å, b = 2.825 Å, c = 8.779 Å
α = 90.00°, β = 90.00°, γ = 101.28°
Atoms (fractional coordinates):
Ta1 0.500 0.500 0.267
Ta2 0.000 0.000 0.010
Cu1 0.000 0.000 0.497
Mg1 0.500 0.500 0.726

Total DFT energy (no corrections), eV/atom: -7.25
Formation energy, eV per atom: 0.0974
Size of the total moment, μB per atom: 0.000
N(E_F), states/eV/f.u.: 3.3



5.
Entry from Alexandria via LeMat-Bulk: a relaxed MgTa2Cu crystal (GGA-PBE).

a = 5.102 Å, b = 5.102 Å, c = 5.102 Å
α = 134.04°, β = 134.04°, γ = 67.03°
Atoms (fractional coordinates):
Ta1 0.000 0.000 0.000
Cu1 0.500 0.500 0.000
Mg1 0.750 0.250 0.500
Ta2 0.250 0.750 0.500

Total DFT energy (no corrections), eV/atom: -6.99
Formation energy, eV per atom: 0.3631
Size of the total moment, μB per atom: 0.000
N(E_F), states/eV/f.u.: 4.5



6.
Entry from Alexandria via LeMat-Bulk: a relaxed MgTa2Cu crystal (GGA-PBE).

a = 5.455 Å, b = 5.455 Å, c = 5.455 Å
α = 148.10°, β = 126.77°, γ = 63.41°
Atoms (fractional coordinates):
Cu1 0.501 0.501 0.000
Ta1 0.991 0.991 0.000
Ta2 0.734 0.234 0.500
Mg1 0.274 0.774 0.500

Total DFT energy (no corrections), eV/atom: -7.09
Formation energy, eV per atom: 0.2607
Size of the total moment, μB per atom: 0.000
N(E_F), states/eV/f.u.: 2.7



7.
Entry from Alexandria via LeMat-Bulk: a relaxed MgTa2Cu crystal (GGA-PBE).

a = 10.005 Å, b = 10.005 Å, c = 10.005 Å
α = 16.37°, β = 16.37°, γ = 16.37°
Atoms (fractional coordinates):
Ta1 0.506 0.506 0.506
Mg1 0.750 0.750 0.750
Cu1 0.250 0.250 0.250
Ta2 0.994 0.994 0.994

Total DFT energy (no corrections), eV/atom: -7.05
Formation energy, eV per atom: 0.2984
Size of the total moment, μB per atom: 0.000
N(E_F), states/eV/f.u.: 3.0



8.
Entry from Alexandria via LeMat-Bulk: a relaxed MgTa2Cu crystal (GGA-PBE).

a = 5.588 Å, b = 5.588 Å, c = 4.401 Å
α = 66.62°, β = 66.62°, γ = 33.22°
Atoms (fractional coordinates):
Ta1 0.018 0.018 0.982
Cu1 0.750 0.750 0.750
Mg1 0.250 0.250 0.250
Ta2 0.482 0.482 0.518

Total DFT energy (no corrections), eV/atom: -7.15
Formation energy, eV per atom: 0.1991
Size of the total moment, μB per atom: 0.000
N(E_F), states/eV/f.u.: 3.2



9.
Entry from Alexandria via LeMat-Bulk: a relaxed MgTa2VCu crystal (GGA-PBE).

a = 4.782 Å, b = 4.184 Å, c = 4.782 Å
α = 90.00°, β = 90.00°, γ = 90.00°
Last column: magnetic moment on the atom in μB.
Atoms (fractional coordinates):
V1 0.500 0.500 0.500  1.55
Cu1 0.000 0.500 0.000  0.00
Ta1 0.000 0.000 0.500  -0.05
Mg1 0.000 0.000 0.000  0.00
Ta2 0.500 0.000 0.000  -0.12

Total DFT energy (no corrections), eV/atom: -5.88
Formation energy, eV per atom: 1.8190
Size of the total moment, μB per atom: 0.314
N(E_F), states/eV/f.u.: 7.6



10.
Entry from Alexandria via LeMat-Bulk: a relaxed Tb2MgCu9 crystal (GGA-PBE).

a = 5.094 Å, b = 5.094 Å, c = 8.807 Å
α = 73.19°, β = 73.19°, γ = 60.00°
Atoms (fractional coordinates):
Cu1 0.418 0.418 0.244
Cu2 0.582 0.582 0.756
Tb1 0.137 0.137 0.590
Cu3 0.333 0.333 0.002
Cu4 0.582 0.080 0.756
Cu5 0.920 0.418 0.244
Cu6 0.667 0.667 0.998
Mg1 0.000 0.000 0.000
Cu7 0.418 0.920 0.244
Cu8 0.080 0.582 0.756
Cu9 0.500 0.500 0.500
Tb2 0.863 0.863 0.410

Total DFT energy (no corrections), eV/atom: -4.11
Formation energy, eV per atom: -0.1347
Size of the total moment, μB per atom: 0.000
N(E_F), states/eV/f.u.: 5.8



11.
Entry from Alexandria via LeMat-Bulk: a relaxed Tb3MgCu8 crystal (GGA-PBE).

a = 5.201 Å, b = 5.201 Å, c = 8.990 Å
α = 73.19°, β = 73.19°, γ = 60.00°
Atoms (fractional coordinates):
Tb1 0.995 0.995 0.016
Tb2 0.379 0.379 0.864
Tb3 0.505 0.505 0.486
Cu1 0.938 0.440 0.685
Cu2 0.440 0.938 0.685
Cu3 0.687 0.687 0.940
Mg1 0.872 0.872 0.385
Cu4 0.434 0.434 0.190
Cu5 0.188 0.188 0.435
Cu6 0.938 0.938 0.685
Cu7 0.943 0.434 0.190
Cu8 0.434 0.943 0.190

Total DFT energy (no corrections), eV/atom: -4.21
Formation energy, eV per atom: -0.1920
Size of the total moment, μB per atom: 0.000
N(E_F), states/eV/f.u.: 8.3



12.
Entry from Alexandria via LeMat-Bulk: a relaxed Tb2MgCu crystal (GGA-PBE).

a = 5.143 Å, b = 5.143 Å, c = 5.143 Å
α = 60.00°, β = 60.00°, γ = 60.00°
Atoms (fractional coordinates):
Tb1 0.250 0.250 0.250
Tb2 0.750 0.750 0.750
Cu1 0.500 0.500 0.500
Mg1 0.000 0.000 0.000

Total DFT energy (no corrections), eV/atom: -3.80
Formation energy, eV per atom: -0.0627
Polymorph energy (0 for the lowest one), eV per atom: 0.0770
Size of the total moment, μB per atom: 0.000
N(E_F), states/eV/f.u.: 3.9



- Among the records above, which one has the highest N(E_F)?
  Tb3MgCu8